## i
Compound: Pm3SiGe3
Source: Alexandria via LeMat-Bulk
Functional: PBE
Structure: relaxed

Summary:
D(E_F) = 4.15 states/eV/f.u.

a b c (Å): 5.932 8.577 8.577
angles (deg): 120.00 90.00 90.00
Positions (direct):
Si 0.250 0.667 0.333
Si 0.750 0.333 0.667
Pm 0.250 0.610 0.919
Pm 0.750 0.390 0.081
Pm 0.250 0.081 0.691
Pm 0.750 0.691 0.610
Pm 0.250 0.309 0.390
Pm 0.750 0.919 0.309
Ge 0.250 0.924 0.285
Ge 0.250 0.715 0.640
Ge 0.750 0.076 0.715
Ge 0.750 0.640 0.924
Ge 0.250 0.360 0.076
Ge 0.750 0.285 0.360

---

## ii
Compound: Pm3SiGe3
Source: Alexandria via LeMat-Bulk
Functional: PBE
Structure: relaxed

Summary:
D(E_F) = 3.88 states/eV/f.u.

a b c (Å): 4.343 5.903 13.798
angles (deg): 81.05 80.94 68.41
Positions (direct):
Ge 0.119 0.842 0.921
Ge 0.987 0.800 0.226
Ge 0.881 0.158 0.079
Ge 0.013 0.200 0.774
Ge 0.150 0.241 0.459
Ge 0.850 0.759 0.541
Pm 0.393 0.290 0.924
Pm 0.607 0.710 0.076
Pm 0.515 0.350 0.621
Pm 0.267 0.234 0.231
Pm 0.485 0.650 0.379
Pm 0.733 0.766 0.769
Si 0.766 0.085 0.382
Si 0.234 0.915 0.618

---

Least stable: i

---

## i
Compound: PmYSiGe
Source: Alexandria via LeMat-Bulk
Functional: PBE
Structure: relaxed

Summary:
D(E_F) = 2.79 states/eV/f.u.

a b c (Å): 4.367 3.949 5.825
angles (deg): 90.00 112.02 90.00
Positions (direct):
Ge 0.578 0.500 0.156
Pm 0.140 0.000 0.281
Y 0.862 0.500 0.724
Si 0.420 0.000 0.839

---

## ii
Compound: PmYSiGe
Source: Alexandria via LeMat-Bulk
Functional: PBE
Structure: relaxed

Summary:
D(E_F) = 4.01 states/eV/f.u.

a b c (Å): 5.104 5.104 5.104
angles (deg): 60.00 60.00 60.00
Positions (direct):
Y 0.000 0.000 0.000
Ge 0.250 0.250 0.250
Pm 0.500 0.500 0.500
Si 0.750 0.750 0.750

---

Least stable: ii

---

## i
Compound: PmSmGe
Source: Alexandria via LeMat-Bulk
Functional: PBE
Structure: relaxed

Summary:
D(E_F) = 1.81 states/eV/f.u.

a b c (Å): 4.272 4.780 4.780
angles (deg): 120.00 90.00 90.00
Positions (direct):
Sm 0.584 0.333 0.667
Ge 0.369 0.667 0.333
Pm 0.046 0.000 0.000

---

## ii
Compound: PmSmGe
Source: Alexandria via LeMat-Bulk
Functional: PBE
Structure: relaxed

Summary:
D(E_F) = 2.78 states/eV/f.u.

a b c (Å): 5.013 5.013 5.013
angles (deg): 60.00 60.00 60.00
Positions (direct):
Ge 0.250 0.250 0.250
Pm 0.500 0.500 0.500
Sm 0.000 0.000 0.000

---

## iii
Compound: PmSmGe
Source: Alexandria via LeMat-Bulk
Functional: PBE
Structure: relaxed

Summary:
D(E_F) = 3.66 states/eV/f.u.

a b c (Å): 4.290 8.137 8.137
angles (deg): 120.00 90.00 90.00
Site moments in Bohr magnetons follow the coordinates.
Positions (direct):
Pm 0.500 0.592 0.000  0.16
Pm 0.500 0.408 0.408  0.16
Pm 0.500 0.000 0.592  0.16
Ge 0.500 0.000 0.000  -0.01
Ge 0.000 0.667 0.333  -0.01
Ge 0.000 0.333 0.667  -0.01
Sm 0.000 0.265 0.000  0.14
Sm 0.000 0.735 0.735  0.14
Sm 0.000 0.000 0.265  0.14

---

Least stable: i

---

## i
Compound: PmSm2Ge2
Source: Alexandria via LeMat-Bulk
Functional: PBE
Structure: relaxed

Summary:
D(E_F) = 5.52 states/eV/f.u.

a b c (Å): 4.289 7.823 7.823
angles (deg): 90.00 90.00 90.00
Positions (direct):
Sm 0.000 0.673 0.327
Sm 0.000 0.827 0.827
Sm 0.000 0.173 0.173
Sm 0.000 0.327 0.673
Ge 0.500 0.622 0.622
Ge 0.500 0.122 0.878
Ge 0.500 0.378 0.378
Ge 0.500 0.878 0.122
Pm 0.500 0.000 0.500
Pm 0.500 0.500 0.000

---

## ii
Compound: PmSm2Ge2
Source: Alexandria via LeMat-Bulk
Functional: PBE
Structure: relaxed

Summary:
D(E_F) = 3.60 states/eV/f.u.

a b c (Å): 4.450 6.016 6.016
angles (deg): 66.07 68.29 68.29
Positions (direct):
Ge 0.500 0.299 0.701
Ge 0.500 0.701 0.299
Sm 0.801 0.699 0.699
Sm 0.199 0.301 0.301
Pm 0.000 0.000 0.000

---

Least stable: ii

---

## i
Compound: PmSmZnGe
Source: Alexandria via LeMat-Bulk
Functional: PBE
Structure: relaxed

Summary:
D(E_F) = 4.15 states/eV/f.u.

a b c (Å): 4.322 4.189 5.960
angles (deg): 90.00 111.26 90.00
Site moments in Bohr magnetons follow the coordinates.
Positions (direct):
Zn 0.572 0.500 0.144  0.01
Ge 0.426 0.000 0.852  -0.01
Pm 0.860 0.500 0.720  0.10
Sm 0.142 0.000 0.285  0.12

---

## ii
Compound: PmSmZnGe
Source: Alexandria via LeMat-Bulk
Functional: PBE
Structure: relaxed

Summary:
D(E_F) = 2.89 states/eV/f.u.

a b c (Å): 5.141 5.141 5.141
angles (deg): 60.00 60.00 60.00
Positions (direct):
Zn 0.750 0.750 0.750
Pm 0.000 0.000 0.000
Sm 0.500 0.500 0.500
Ge 0.250 0.250 0.250

---

Least stable: ii

---

## i
Compound: Pm2SnGe3
Source: Alexandria via LeMat-Bulk
Functional: PBE
Structure: relaxed

Summary:
D(E_F) = 4.14 states/eV/f.u.

a b c (Å): 6.027 9.595 6.309
angles (deg): 112.75 118.54 90.00
Positions (direct):
Ge 0.159 0.567 0.246
Ge 0.740 0.250 0.000
Ge 0.260 0.750 0.000
Ge 0.841 0.433 0.754
Ge 0.914 0.933 0.754
Ge 0.086 0.067 0.246
Sn 0.744 0.750 0.000
Sn 0.256 0.250 0.000
Pm 0.329 0.906 0.604
Pm 0.725 0.594 0.396
Pm 0.671 0.094 0.396
Pm 0.275 0.406 0.604

---

## ii
Compound: Pm2SnGe3
Source: Alexandria via LeMat-Bulk
Functional: PBE
Structure: relaxed

Summary:
D(E_F) = 2.81 states/eV/f.u.

a b c (Å): 4.263 7.211 18.954
angles (deg): 90.00 90.00 90.00
Positions (direct):
Pm 0.750 0.874 0.299
Pm 0.250 0.626 0.799
Pm 0.250 0.638 0.591
Pm 0.250 0.126 0.701
Pm 0.750 0.362 0.409
Pm 0.750 0.862 0.091
Pm 0.750 0.374 0.201
Pm 0.250 0.138 0.909
Ge 0.250 0.265 0.523
Ge 0.750 0.796 0.694
Ge 0.250 0.204 0.306
Ge 0.750 0.735 0.477
Ge 0.750 0.435 0.681
Ge 0.750 0.235 0.023
Ge 0.250 0.704 0.194
Ge 0.750 0.935 0.819
Ge 0.250 0.065 0.181
Ge 0.250 0.765 0.977
Ge 0.250 0.565 0.319
Ge 0.750 0.296 0.806
Sn 0.250 0.950 0.428
Sn 0.750 0.050 0.572
Sn 0.750 0.550 0.928
Sn 0.250 0.450 0.072

---

Least stable: i

---

## i
Compound: PmSnGe
Source: Alexandria via LeMat-Bulk
Functional: PBE
Structure: relaxed

Summary:
D(E_F) = 1.88 states/eV/f.u.

a b c (Å): 4.041 4.738 4.738
angles (deg): 120.00 90.00 90.00
Positions (direct):
Sn 0.834 0.667 0.333
Ge 0.832 0.000 0.000
Pm 0.333 0.333 0.667

---

## ii
Compound: PmSnGe
Source: Alexandria via LeMat-Bulk
Functional: PBE
Structure: relaxed

Summary:
D(E_F) = 1.43 states/eV/f.u.

a b c (Å): 4.196 4.101 9.079
angles (deg): 90.00 76.63 90.00
Positions (direct):
Sn 0.377 0.915 0.527
Sn 0.802 0.415 0.672
Pm 0.182 0.915 0.909
Pm 0.991 0.415 0.290
Ge 0.635 0.415 0.001
Ge 0.538 0.915 0.198

---

## iii
Compound: PmSnGe
Source: Alexandria via LeMat-Bulk
Functional: PBE
Structure: relaxed

Summary:
D(E_F) = 2.05 states/eV/f.u.

a b c (Å): 5.044 5.044 5.044
angles (deg): 60.00 60.00 60.00
Positions (direct):
Sn 0.000 0.000 0.000
Pm 0.250 0.250 0.250
Ge 0.500 0.500 0.500

---

## iv
Compound: PmSnGe
Source: Alexandria via LeMat-Bulk
Functional: PBE
Structure: relaxed

Summary:
D(E_F) = 1.18 states/eV/f.u.

a b c (Å): 4.107 4.377 8.736
angles (deg): 104.51 90.00 90.00
Positions (direct):
Sn 0.750 0.256 0.512
Sn 0.250 0.744 0.488
Pm 0.750 0.905 0.809
Pm 0.250 0.095 0.191
Ge 0.750 0.550 0.101
Ge 0.250 0.450 0.899

---

Least stable: iii

---

## i
Compound: Pm3SnGe2
Source: Alexandria via LeMat-Bulk
Functional: PBE
Structure: relaxed

Summary:
D(E_F) = 3.79 states/eV/f.u.

a b c (Å): 4.532 4.263 8.408
angles (deg): 90.00 105.64 90.00
Positions (direct):
Pm 0.673 0.000 0.345
Pm 0.500 0.500 0.000
Pm 0.327 0.000 0.655
Sn 0.000 0.000 0.000
Ge 0.850 0.500 0.700
Ge 0.150 0.500 0.300

---

## ii
Compound: Pm3SnGe2
Source: Alexandria via LeMat-Bulk
Functional: PBE
Structure: relaxed

Summary:
D(E_F) = 3.09 states/eV/f.u.

a b c (Å): 7.804 7.804 7.804
angles (deg): 61.98 61.98 61.98
Positions (direct):
Ge 0.658 0.658 0.658
Ge 0.342 0.342 0.342
Ge 0.158 0.158 0.158
Ge 0.842 0.842 0.842
Pm 0.062 0.750 0.438
Pm 0.438 0.062 0.750
Pm 0.938 0.250 0.562
Pm 0.750 0.438 0.062
Pm 0.562 0.938 0.250
Pm 0.250 0.562 0.938
Sn 0.000 0.000 0.000
Sn 0.500 0.500 0.500

---

Least stable: i

---

## i
Compound: Pm2Sn2Ge
Source: Alexandria via LeMat-Bulk
Functional: PBE
Structure: relaxed

Summary:
D(E_F) = 2.56 states/eV/f.u.

a b c (Å): 4.507 6.217 10.672
angles (deg): 93.92 102.29 111.02
Positions (direct):
Ge 0.628 0.947 0.308
Ge 0.372 0.053 0.692
Sn 0.089 0.734 0.451
Sn 0.343 0.785 0.900
Sn 0.911 0.266 0.549
Sn 0.657 0.215 0.100
Pm 0.056 0.235 0.879
Pm 0.658 0.639 0.678
Pm 0.342 0.361 0.322
Pm 0.944 0.765 0.121

---

## ii
Compound: Pm2Sn2Ge
Source: Alexandria via LeMat-Bulk
Functional: PBE
Structure: relaxed

Summary:
D(E_F) = 5.37 states/eV/f.u.

a b c (Å): 4.054 4.054 9.186
angles (deg): 102.75 102.75 90.00
Positions (direct):
Ge 0.000 0.000 0.000
Sn 0.250 0.750 0.500
Sn 0.750 0.250 0.500
Pm 0.403 0.403 0.806
Pm 0.597 0.597 0.194

---

Least stable: ii

---

## i
Compound: SrPm2Ge6
Source: Alexandria via LeMat-Bulk
Functional: PBE
Structure: relaxed

Summary:
D(E_F) = 3.87 states/eV/f.u.

a b c (Å): 4.155 8.078 8.078
angles (deg): 64.52 75.10 75.10
Positions (direct):
Ge 0.500 0.317 0.683
Ge 0.688 0.583 0.041
Ge 0.688 0.041 0.583
Ge 0.312 0.417 0.959
Ge 0.500 0.683 0.317
Ge 0.312 0.959 0.417
Pm 0.138 0.362 0.362
Pm 0.862 0.638 0.638
Sr 0.000 0.000 0.000

---

## ii
Compound: SrPm2Ge6
Source: Alexandria via LeMat-Bulk
Functional: PBE
Structure: relaxed

Summary:
D(E_F) = 3.45 states/eV/f.u.

a b c (Å): 4.144 7.730 7.730
angles (deg): 120.00 90.00 90.00
Positions (direct):
Ge 0.500 0.338 0.000
Ge 0.500 0.000 0.338
Ge 0.500 0.662 0.000
Ge 0.500 0.000 0.662
Ge 0.500 0.338 0.338
Ge 0.500 0.662 0.662
Pm 0.000 0.667 0.333
Pm 0.000 0.333 0.667
Sr 0.000 0.000 0.000

---

Least stable: i